(1)
YTa2SiIr | PBE | relaxed

Unit cell a=4.985 b=4.985 c=4.818 alpha=90.00 beta=90.00 gamma=90.00
Sites, in units of the cell vectors:
Y (0.000, 0.000, 0.000)
Ta (0.000, 0.500, 0.000)
Ta (0.500, 0.000, 0.000)
Si (0.500, 0.500, 0.500)
Ir (0.000, 0.000, 0.500)

total magnetic moment	0.0	μB per cell
final energy	-6.495	eV/atom

***

(2)
Y2TaSi4Ir3 | PBE | relaxed

Unit cell a=4.082 b=4.082 c=10.504 alpha=90.00 beta=90.00 gamma=90.00
Sites, in units of the cell vectors:
Y (0.000, 0.500, 0.241)
Y (0.500, 0.000, 0.759)
Ta (0.000, 0.000, 0.500)
Si (0.000, 0.000, 0.000)
Si (0.000, 0.500, 0.649)
Si (0.500, 0.000, 0.351)
Si (0.500, 0.500, 0.000)
Ir (0.000, 0.500, 0.877)
Ir (0.500, 0.000, 0.123)
Ir (0.500, 0.500, 0.500)

total magnetic moment	0.0	μB per cell
final energy	-8.191	eV/atom

***

(3)
Y2TaSi3Ir4 | PBE | relaxed

Unit cell a=4.102 b=4.102 c=10.465 alpha=90.00 beta=90.00 gamma=90.00
Sites, in units of the cell vectors:
Y (0.000, 0.500, 0.236)
Y (0.500, 0.000, 0.764)
Ta (0.000, 0.000, 0.500)
Si (0.000, 0.500, 0.874)
Si (0.500, 0.000, 0.126)
Si (0.500, 0.500, 0.500)
Ir (0.000, 0.000, 0.000)
Ir (0.000, 0.500, 0.644)
Ir (0.500, 0.000, 0.356)
Ir (0.500, 0.500, 0.000)

total magnetic moment	0.0	μB per cell
final energy	-8.623	eV/atom

***

(4)
Tb3Si2Ir | PBE | relaxed

Unit cell a=11.579 b=4.201 c=11.277 alpha=90.00 beta=90.00 gamma=90.00
Sites, in units of the cell vectors:
Tb (0.058, 0.250, 0.123)
Tb (0.120, 0.750, 0.558)
Tb (0.215, 0.250, 0.802)
Tb (0.285, 0.750, 0.302)
Tb (0.380, 0.250, 0.058)
Tb (0.442, 0.750, 0.623)
Tb (0.558, 0.250, 0.377)
Tb (0.620, 0.750, 0.942)
Tb (0.715, 0.250, 0.698)
Tb (0.785, 0.750, 0.198)
Tb (0.880, 0.250, 0.442)
Tb (0.942, 0.750, 0.877)
Si (0.021, 0.750, 0.313)
Si (0.195, 0.750, 0.997)
Si (0.305, 0.250, 0.497)
Si (0.479, 0.250, 0.813)
Si (0.521, 0.750, 0.187)
Si (0.695, 0.750, 0.503)
Si (0.805, 0.250, 0.003)
Si (0.979, 0.250, 0.687)
Ir (0.129, 0.250, 0.365)
Ir (0.371, 0.750, 0.865)
Ir (0.629, 0.250, 0.135)
Ir (0.871, 0.750, 0.635)

total magnetic moment	0.0	μB per cell
final energy	-6.433	eV/atom

***

(5)
TbSi3Ir2 | PBE | relaxed

Unit cell a=7.537 b=7.537 c=7.531 alpha=111.11 beta=111.11 gamma=31.48
Sites, in units of the cell vectors:
Tb (0.147, 0.147, 0.092)
Tb (0.853, 0.853, 0.908)
Si (0.013, 0.013, 0.349)
Si (0.329, 0.329, 0.569)
Si (0.365, 0.365, 0.241)
Si (0.635, 0.635, 0.759)
Si (0.671, 0.671, 0.431)
Si (0.987, 0.987, 0.651)
Ir (0.175, 0.175, 0.630)
Ir (0.491, 0.491, 0.821)
Ir (0.509, 0.509, 0.179)
Ir (0.825, 0.825, 0.370)

total magnetic moment	0.0	μB per cell
final energy	-7.183	eV/atom

***

(6)
TbSiIr | PBE | relaxed

Unit cell a=4.088 b=4.088 c=13.839 alpha=90.00 beta=90.00 gamma=90.00
Sites, in units of the cell vectors:
Tb (0.000, 0.000, 0.160)
Tb (0.000, 0.000, 0.840)
Tb (0.500, 0.500, 0.340)
Tb (0.500, 0.500, 0.660)
Si (0.000, 0.000, 0.394)
Si (0.000, 0.000, 0.606)
Si (0.500, 0.500, 0.106)
Si (0.500, 0.500, 0.894)
Ir (0.000, 0.500, 0.000)
Ir (0.000, 0.500, 0.500)
Ir (0.500, 0.000, 0.000)
Ir (0.500, 0.000, 0.500)

total magnetic moment	0.8	μB per cell
final energy	-7.255	eV/atom

***

(7)
Tb3Si2Ir2 | PBE | relaxed

Unit cell a=5.674 b=7.795 c=13.128 alpha=90.00 beta=90.00 gamma=90.00
Sites, in units of the cell vectors:
Tb (0.122, 0.248, 0.250)
Tb (0.122, 0.252, 0.750)
Tb (0.364, 0.609, 0.604)
Tb (0.364, 0.609, 0.896)
Tb (0.364, 0.891, 0.104)
Tb (0.364, 0.891, 0.396)
Tb (0.636, 0.109, 0.604)
Tb (0.636, 0.109, 0.896)
Tb (0.636, 0.391, 0.104)
Tb (0.636, 0.391, 0.396)
Tb (0.878, 0.748, 0.250)
Tb (0.878, 0.752, 0.750)
Si (0.093, 0.250, 0.000)
Si (0.093, 0.250, 0.500)
Si (0.358, 0.600, 0.250)
Si (0.358, 0.900, 0.750)
Si (0.642, 0.100, 0.250)
Si (0.642, 0.400, 0.750)
Si (0.907, 0.750, 0.000)
Si (0.907, 0.750, 0.500)
Ir (0.147, 0.524, 0.090)
Ir (0.147, 0.524, 0.410)
Ir (0.147, 0.976, 0.590)
Ir (0.147, 0.976, 0.910)
Ir (0.853, 0.024, 0.090)
Ir (0.853, 0.024, 0.410)
Ir (0.853, 0.476, 0.590)
Ir (0.853, 0.476, 0.910)

total magnetic moment	0.0	μB per cell
final energy	-7.022	eV/atom

***

(8)
TbSiIr | PBE | relaxed

Unit cell a=4.181 b=4.181 c=3.888 alpha=90.00 beta=90.00 gamma=120.00
Sites, in units of the cell vectors:
Tb (0.000, 0.000, 0.000)
Si (0.333, 0.667, 0.500)
Ir (0.667, 0.333, 0.500)

total magnetic moment	0.0	μB per cell
final energy	-7.228	eV/atom